No. 1
Compound: Eu2ZnSi
Source: Alexandria
Functional: GGA-PBE
Structure: optimized geometry

```
Eu2ZnSi
1.0
-3.320 1.543 -1.097
-2.914 0.215 2.464
1.266 10.008 3.590
Eu Zn Si
2 1 1
Cartesian
0.235 7.103 2.623
-5.203 4.664 2.333
0.000 0.000 0.000
-2.484 5.883 2.478
```

## Properties
Spin magnetization (μB/f.u.): 14.79
Theoretical density (g cm⁻³): 5.0
Uncorrected formation energy (meV/atom): 131
Space-group type: R-3m (166)



No. 2
Compound: EuTlAgHg
Source: Alexandria
Functional: GGA-PBE
Structure: optimized geometry

```
EuTlAgHg
1.0
5.232 0.000 0.000
2.616 4.531 0.000
2.616 1.510 4.272
Eu Tl Hg Ag
1 1 1 1
Cartesian
0.000 0.000 0.000
7.848 4.531 3.204
5.232 3.021 2.136
2.616 1.510 1.068
```

## Properties
Spin magnetization (μB/f.u.): 7.10
Theoretical density (g cm⁻³): 10.9
Space-group type: F-43m (216)
Energy of formation from the pure elements (eV per atom): -0.217